No. 1
BeFe2Si, relaxed, DFT PBE; final energy = -53.30 eV per cell; magnetization = 3.3 μB per formula unit
1.0
1.898 -3.288 0.000
1.898 3.288 0.000
0.000 0.000 7.037
Fe Si Be
4 2 2
Direct
0.667 0.333 0.418
0.333 0.667 0.582
0.333 0.667 0.918
0.667 0.333 0.082
0.333 0.667 0.250
0.667 0.333 0.750
0.000 0.000 0.500
0.000 0.000 0.000

=====

No. 2
BeFe2Si, relaxed, DFT PBE; final energy = -52.27 eV per cell; magnetization = 0.3 μB per formula unit
1.0
1.921 -3.327 0.000
1.921 3.327 0.000
0.000 0.000 6.740
Si Fe Be
2 4 2
Direct
0.000 0.000 0.000
0.000 0.000 0.500
0.333 0.667 0.909
0.667 0.333 0.409
0.667 0.333 0.091
0.333 0.667 0.591
0.333 0.667 0.250
0.667 0.333 0.750

=====

Which value of magnetization does entry 2 give?
0.3 μB per formula unit